Entry 1:
Computed, not measured: a relaxed structure of Sr2VCo at the PBE level of DFT.

Summary:
Energy of formation from the pure elements   0.903 eV per atom
Theoretical density   4.3 Mg/m³
ΔE to the lowest computed polymorph   306.5 meV per atom

abc: 7.6167 7.6167 7.6167
angles: 90.00 90.00 90.00
Space group Fm-3m (No. 225)
Symmetry-distinct sites (fractional):
Sr (0.2500, 0.2500, 0.2500)
V (0.0000, 0.0000, 0.0000)
Co (0.0000, 0.0000, 0.5000)


Entry 2:
Computed, not measured: a relaxed structure of SrVCo3 at the PBE level of DFT.

Summary:
Energy of formation from the pure elements   0.634 eV per atom
Theoretical density   6.1 Mg/m³
ΔE to the lowest computed polymorph   0.0 meV per atom

abc: 4.4051 4.4051 4.4051
angles: 90.00 90.00 90.00
Space group Pm-3m (No. 221)
Symmetry-distinct sites (fractional):
Sr (0.0000, 0.0000, 0.0000)
V (0.5000, 0.5000, 0.5000)
Co (0.0000, 0.5000, 0.5000)


Entry 3:
Computed, not measured: a relaxed structure of Sr3VCo at the PBE level of DFT.

Summary:
Energy of formation from the pure elements   0.778 eV per atom
Theoretical density   3.4 Mg/m³

abc: 5.6751 5.6751 5.6751
angles: 90.00 90.00 90.00
Space group Pm-3m (No. 221)
Symmetry-distinct sites (fractional):
Sr (0.0000, 0.0000, 0.5000)
V (0.5000, 0.5000, 0.5000)
Co (0.0000, 0.0000, 0.0000)


Entry 4:
Computed, not measured: a relaxed structure of SrVCo3 at the PBE level of DFT.

Summary:
Energy of formation from the pure elements   2.318 eV per atom
Theoretical density   5.3 Mg/m³
ΔE to the lowest computed polymorph   1683.8 meV per atom

abc: 4.6328 4.6328 4.6328
angles: 90.00 90.00 90.00
Space group Pm-3m (No. 221)
Symmetry-distinct sites (fractional):
Sr (0.0000, 0.0000, 0.0000)
V (0.5000, 0.5000, 0.5000)
Co (0.0000, 0.0000, 0.5000)


Entry 5:
Computed, not measured: a relaxed structure of Sr2VCo at the PBE level of DFT.

Summary:
Energy of formation from the pure elements   0.597 eV per atom
Theoretical density   3.3 Mg/m³
ΔE to the lowest computed polymorph   0.0 meV per atom

abc: 11.4678 11.4678 4.3504
angles: 90.00 90.00 90.00
Space group I-42d (No. 122)
Symmetry-distinct sites (fractional):
Sr (0.0693, 0.7500, 0.1250)
V (0.0000, 0.0000, 0.5000)
Co (0.0000, 0.0000, 0.0000)


Entry 6:
Computed, not measured: a relaxed structure of SrV3Co at the PBE level of DFT.

Summary:
Energy of formation from the pure elements   2.673 eV per atom
Theoretical density   5.6 Mg/m³
ΔE to the lowest computed polymorph   1892.4 meV per atom

abc: 4.4719 4.4719 4.4719
angles: 90.00 90.00 90.00
Space group Pm-3m (No. 221)
Symmetry-distinct sites (fractional):
Sr (0.0000, 0.0000, 0.0000)
V (0.0000, 0.0000, 0.5000)
Co (0.5000, 0.5000, 0.5000)


Entry 7:
Computed, not measured: a relaxed structure of SrVCo2 at the PBE level of DFT.

Summary:
Energy of formation from the pure elements   0.602 eV per atom
Theoretical density   4.9 Mg/m³
ΔE to the lowest computed polymorph   0.0 meV per atom

abc: 4.8167 4.8167 14.8578
angles: 90.00 90.00 90.00
Space group I4_1/amd (No. 141, origin choice 2)
Symmetry-distinct sites (fractional):
Sr (0.0000, 0.2500, 0.3750)
V (0.0000, 0.2500, 0.8750)
Co (0.0000, 0.0000, 0.0000)


Entry 8:
Computed, not measured: a relaxed structure of SrV3Co at the PBE level of DFT.

Summary:
Energy of formation from the pure elements   0.781 eV per atom
Theoretical density   5.1 Mg/m³
ΔE to the lowest computed polymorph   0.0 meV per atom

abc: 4.6084 4.6084 4.6084
angles: 90.00 90.00 90.00
Space group Pm-3m (No. 221)
Symmetry-distinct sites (fractional):
Sr (0.0000, 0.0000, 0.0000)
V (0.0000, 0.5000, 0.5000)
Co (0.5000, 0.5000, 0.5000)